(1)
DFT (PBE) results for a relaxed Na3ThTi2Te6 crystal.

abc: 7.3238 7.3238 8.0294
angles: 98.79 98.79 120.47
Last column: nearest neighbours and their distance in Å.
Fractional positions:
Ti1 0.6766 0.3234 0.0000  6 Te 2.85-2.96
Te1 0.0786 0.4340 0.2267  2 Ti 2.85-2.90, 1 Th 3.13, 1 Na 3.18
Te2 0.4340 0.0786 0.2267  2 Ti 2.85-2.90, 1 Th 3.13, 1 Na 3.18
Na1 0.5000 0.5000 0.5000  6 Te 3.13-3.27
Te3 0.2884 0.2884 0.7853  2 Ti 2.96, 1 Th 3.10, 3 Na 3.13-3.25
Th1 0.0000 0.0000 0.0000  6 Te 3.10-3.13
Te4 0.9214 0.5660 0.7733  2 Ti 2.85-2.90, 1 Th 3.13, 1 Na 3.18
Te5 0.7116 0.7116 0.2147  2 Ti 2.96, 1 Th 3.10, 3 Na 3.13-3.25
Na2 0.8459 0.1541 0.5000  6 Te 3.18-3.30
Ti2 0.3234 0.6766 0.0000  6 Te 2.85-2.96
Te6 0.5660 0.9214 0.7733  2 Ti 2.85-2.90, 1 Th 3.13, 1 Na 3.18
Na3 0.1541 0.8459 0.5000  6 Te 3.18-3.30

Properties
Space-group type   No. 12

=====

(2)
DFT (PBE) results for a relaxed Na3Th3TiTe8 crystal.

abc: 8.7023 8.7013 9.3239
angles: 117.83 90.00 120.00
Last column: nearest neighbours and their distance in Å.
Fractional positions:
Te1 0.7495 0.4989 0.7481  3 Th 3.18, 3 Na 3.20
Na1 0.0000 0.0000 0.0000  6 Te 3.20-3.25
Te2 0.7678 0.0055 0.2737  1 Ti 2.95, 2 Th 3.14, 2 Na 3.25
Te3 0.2324 0.4647 0.7264  1 Ti 2.96, 2 Th 3.14, 2 Na 3.25
Na2 0.0000 0.5000 0.0000  6 Te 3.20-3.25
Th1 0.0000 0.5000 0.5000  6 Te 3.14-3.18
Ti1 0.0000 0.0000 0.5000  6 Te 2.95-2.96
Te4 0.2377 0.0055 0.2737  1 Ti 2.95, 2 Th 3.14, 2 Na 3.25
Te5 0.2322 0.9945 0.7263  1 Ti 2.95, 2 Th 3.14, 2 Na 3.25
Th2 0.5000 0.5000 0.5000  6 Te 3.14-3.18
Te6 0.2505 0.5011 0.2519  3 Th 3.18, 3 Na 3.20
Na3 0.5000 0.5000 0.0000  6 Te 3.20-3.25
Th3 0.5000 0.0000 0.5000  6 Te 3.14-3.18
Te7 0.7623 0.9945 0.7263  1 Ti 2.95, 2 Th 3.14, 2 Na 3.25
Te8 0.7676 0.5353 0.2736  1 Ti 2.96, 2 Th 3.14, 2 Na 3.25

Properties
Space-group type   No. 166

=====

(3)
DFT (PBE) results for a relaxed NaTh3Tl3Te8 crystal.

abc: 9.1161 9.1153 9.6887
angles: 118.08 90.00 120.00
Last column: nearest neighbours and their distance in Å.
Fractional positions:
Te1 0.7225 0.9695 0.7165  2 Th 3.11-3.12, 1 Na 3.27
Tl1 0.5000 0.5000 0.0000  6 Te 3.46-3.55
Tl2 0.0000 0.5000 0.0000  6 Te 3.46-3.55
Tl3 0.0000 0.0000 0.0000  6 Te 3.46-3.55
Te2 0.2587 0.5174 0.2762  3 Th 3.20, 3 Tl 3.46
Te3 0.2470 0.4940 0.7165  2 Th 3.12, 1 Na 3.27
Te4 0.7530 0.0305 0.2835  2 Th 3.11-3.12, 1 Na 3.27
Th1 0.5000 0.0000 0.5000  6 Te 3.12-3.20
Te5 0.7530 0.5060 0.2835  2 Th 3.12, 1 Na 3.27
Te6 0.2775 0.0305 0.2835  2 Th 3.11-3.12, 1 Na 3.27
Th2 0.0000 0.5000 0.5000  6 Te 3.11-3.20
Te7 0.7413 0.4826 0.7238  3 Th 3.20, 3 Tl 3.46
Th3 0.5000 0.5000 0.5000  6 Te 3.11-3.20
Na1 0.0000 0.0000 0.5000  6 Te 3.27
Te8 0.2470 0.9695 0.7165  2 Th 3.11-3.12, 1 Na 3.27

Properties
Space-group type   No. 166

=====

(4)
DFT (PBE) results for a relaxed Na3TmTh2Te6 crystal.

abc: 7.6024 7.6024 8.1532
angles: 98.95 98.95 119.99
Last column: nearest neighbours and their distance in Å.
Fractional positions:
Te1 0.7566 0.7566 0.2406  1 Tm 3.09, 2 Th 3.17, 3 Na 3.24-3.29
Te2 0.4040 0.0796 0.2398  1 Tm 3.09, 2 Th 3.17-3.18, 3 Na 3.21-3.26
Na1 0.1701 0.8299 0.5000  6 Te 3.21-3.26
Te3 0.0796 0.4040 0.2398  1 Tm 3.09, 2 Th 3.17-3.18, 3 Na 3.21-3.26
Na2 0.5000 0.5000 0.5000  6 Te 3.21-3.29
Te4 0.5960 0.9204 0.7602  1 Tm 3.09, 2 Th 3.17-3.18, 3 Na 3.21-3.26
Te5 0.9204 0.5960 0.7602  1 Tm 3.09, 2 Th 3.17-3.18, 3 Na 3.21-3.26
Th1 0.6660 0.3340 0.0000  6 Te 3.17-3.18
Th2 0.3340 0.6660 0.0000  6 Te 3.17-3.18
Tm1 0.0000 0.0000 0.0000  6 Te 3.09
Na3 0.8299 0.1701 0.5000  6 Te 3.21-3.26
Te6 0.2434 0.2434 0.7594  1 Tm 3.09, 2 Th 3.17, 3 Na 3.24-3.29

Properties
Space-group type   No. 12

=====

(5)
DFT (PBE) results for a relaxed Na2TmTh2Te6 crystal.

abc: 7.6383 7.6383 8.1096
angles: 99.16 99.16 119.96
Last column: nearest neighbours and their distance in Å.
Fractional positions:
Th1 0.3329 0.6671 0.5000  6 Te 3.15-3.17
Te1 0.5940 0.9170 0.2621  1 Tm 3.08, 2 Th 3.15-3.17, 2 Na 3.25-3.27
Tm1 0.0000 0.0000 0.5000  6 Te 3.08
Na1 0.8308 0.1692 0.0000  6 Te 3.25-3.27
Te2 0.7534 0.7534 0.7362  1 Tm 3.08, 2 Th 3.15, 2 Na 3.25
Te3 0.0830 0.4060 0.7379  1 Tm 3.08, 2 Th 3.15-3.17, 2 Na 3.25-3.27
Te4 0.2466 0.2466 0.2638  1 Tm 3.08, 2 Th 3.15, 2 Na 3.25
Th2 0.6671 0.3329 0.5000  6 Te 3.15-3.17
Na2 0.1692 0.8308 0.0000  6 Te 3.25-3.27
Te5 0.4060 0.0830 0.7379  1 Tm 3.08, 2 Th 3.15-3.17, 2 Na 3.25-3.27
Te6 0.9170 0.5940 0.2621  1 Tm 3.08, 2 Th 3.15-3.17, 2 Na 3.25-3.27

Properties
Space-group type   No. 12

=====

(6)
DFT (PBE) results for a relaxed Na2TmThTe4 crystal.

abc: 4.3680 7.6465 8.0889
angles: 108.00 90.00 90.00
Last column: nearest neighbours and their distance in Å.
Fractional positions:
Tm1 0.5000 0.5000 0.0000  6 Te 3.08-3.09
Te1 0.0000 0.2628 0.7666  2 Tm 3.08, 1 Th 3.15, 3 Na 3.22-3.28
Te2 0.5000 0.2564 0.2412  1 Tm 3.09, 2 Th 3.17, 3 Na 3.20-3.28
Na1 0.0000 0.5000 0.5000  6 Te 3.20-3.22
Na2 0.5000 0.0000 0.5000  6 Te 3.28
Te3 0.5000 0.7436 0.7588  1 Tm 3.09, 2 Th 3.17, 3 Na 3.20-3.28
Th1 0.0000 0.0000 0.0000  6 Te 3.15-3.17
Te4 0.0000 0.7372 0.2334  2 Tm 3.08, 1 Th 3.15, 3 Na 3.22-3.28

Properties
Space-group type   No. 10

=====

(7)
DFT (PBE) results for a relaxed Na3Tm2ThTe6 crystal.

abc: 7.6013 7.6013 8.0514
angles: 99.07 99.07 120.00
Last column: nearest neighbours and their distance in Å.
Fractional positions:
Tm1 0.6671 0.3329 0.0000  6 Te 3.08
Te1 0.4196 0.0785 0.2349  2 Tm 3.08, 1 Th 3.15, 3 Na 3.22-3.27
Te2 0.5804 0.9215 0.7651  2 Tm 3.08, 1 Th 3.15, 3 Na 3.22-3.27
Th1 0.0000 0.0000 0.0000  6 Te 3.15
Te3 0.2632 0.2632 0.7657  2 Tm 3.08, 1 Th 3.15, 3 Na 3.20-3.25
Na1 0.5000 0.5000 0.5000  6 Te 3.20-3.27
Te4 0.7368 0.7368 0.2343  2 Tm 3.08, 1 Th 3.15, 3 Na 3.20-3.25
Te5 0.0785 0.4196 0.2349  2 Tm 3.08, 1 Th 3.15, 3 Na 3.22-3.27
Te6 0.9215 0.5804 0.7651  2 Tm 3.08, 1 Th 3.15, 3 Na 3.22-3.27
Na2 0.1638 0.8362 0.5000  6 Te 3.22-3.27
Na3 0.8362 0.1638 0.5000  6 Te 3.22-3.27
Tm2 0.3329 0.6671 0.0000  6 Te 3.08

Properties
Space-group type   No. 12

=====

(8)
DFT (PBE) results for a relaxed NaTmTh2Te4 crystal.

abc: 4.1959 7.3239 8.2602
angles: 106.60 90.00 90.00
Last column: nearest neighbours and their distance in Å.
Fractional positions:
Te1 0.0000 0.2558 0.7668  1 Na 3.05, 2 Tm 3.06, 3 Th 3.21-3.23
Tm1 0.5000 0.5000 0.0000  6 Te 3.05-3.06
Te2 0.5000 0.7512 0.7630  1 Tm 3.05, 2 Na 3.08, 3 Th 3.20-3.21
Th1 0.5000 0.0000 0.5000  6 Te 3.21-3.23
Te3 0.5000 0.2488 0.2370  1 Tm 3.05, 2 Na 3.08, 3 Th 3.20-3.21
Na1 0.0000 0.0000 0.0000  6 Te 3.05-3.08
Th2 0.0000 0.5000 0.5000  6 Te 3.20-3.21
Te4 0.0000 0.7442 0.2332  1 Na 3.05, 2 Tm 3.06, 3 Th 3.21-3.23

Properties
Space-group type   No. 10

=====

(9)
DFT (PBE) results for a relaxed Na2ThUTe4 crystal.

abc: 4.4030 7.6531 8.1568
angles: 108.10 90.00 90.00
Last column: nearest neighbours and their distance in Å.
Fractional positions:
Th1 0.0000 0.0000 0.0000  6 Te 3.16-3.17
Te1 0.5000 0.7505 0.7566  1 U 3.16, 2 Th 3.17, 3 Na 3.23-3.24
Te2 0.0000 0.2546 0.7602  2 U 3.15, 1 Th 3.16, 3 Na 3.24-3.25
Te3 0.5000 0.2495 0.2434  1 U 3.16, 2 Th 3.17, 3 Na 3.23-3.24
U1 0.5000 0.5000 0.0000  6 Te 3.15-3.16
Na1 0.5000 0.0000 0.5000  6 Te 3.24-3.25
Na2 0.0000 0.5000 0.5000  6 Te 3.23-3.24
Te4 0.0000 0.7454 0.2398  2 U 3.15, 1 Th 3.16, 3 Na 3.24-3.25

Properties
Space-group type   No. 10

=====

(10)
DFT (PBE) results for a relaxed Na2YThTe4 crystal.

abc: 4.3997 7.6609 8.1027
angles: 108.16 90.00 90.00
Last column: nearest neighbours and their distance in Å.
Fractional positions:
Te1 0.0000 0.2584 0.7634  2 Y 3.12, 1 Th 3.16, 3 Na 3.23-3.27
Te2 0.5000 0.2528 0.2420  1 Y 3.12, 2 Th 3.17, 3 Na 3.21-3.26
Y1 0.5000 0.5000 0.0000  6 Te 3.12
Te3 0.5000 0.7472 0.7580  1 Y 3.12, 2 Th 3.17, 3 Na 3.21-3.26
Na1 0.0000 0.5000 0.5000  6 Te 3.21-3.23
Te4 0.0000 0.7416 0.2366  2 Y 3.12, 1 Th 3.16, 3 Na 3.23-3.27
Th1 0.0000 0.0000 0.0000  6 Te 3.16-3.17
Na2 0.5000 0.0000 0.5000  6 Te 3.26-3.27

Properties
Space-group type   No. 10

=====

(11)
DFT (PBE) results for a relaxed Na3YTh2Te6 crystal.

abc: 7.6214 7.6214 8.1676
angles: 98.95 98.95 120.00
Last column: nearest neighbours and their distance in Å.
Fractional positions:
Th1 0.3337 0.6663 0.0000  6 Te 3.17
Na1 0.8314 0.1686 0.5000  6 Te 3.22-3.25
Te1 0.9198 0.5913 0.7588  1 Y 3.13, 2 Th 3.17, 3 Na 3.22-3.25
Te2 0.2475 0.2475 0.7582  1 Y 3.13, 2 Th 3.17, 3 Na 3.24-3.27
Na2 0.5000 0.5000 0.5000  6 Te 3.22-3.27
Na3 0.1686 0.8314 0.5000  6 Te 3.22-3.25
Y1 0.0000 0.0000 0.0000  6 Te 3.13
Te3 0.4087 0.0802 0.2412  1 Y 3.13, 2 Th 3.17, 3 Na 3.22-3.25
Te4 0.7525 0.7525 0.2418  1 Y 3.13, 2 Th 3.17, 3 Na 3.24-3.27
Te5 0.5913 0.9198 0.7588  1 Y 3.13, 2 Th 3.17, 3 Na 3.22-3.25
Th2 0.6663 0.3337 0.0000  6 Te 3.17
Te6 0.0802 0.4087 0.2412  1 Y 3.13, 2 Th 3.17, 3 Na 3.22-3.25

Properties
Space-group type   No. 12

=====

(12)
DFT (PBE) results for a relaxed Na4Y3ThTe8 crystal.

abc: 8.8421 9.1751 8.8417
angles: 118.83 120.00 90.00
Last column: nearest neighbours and their distance in Å.
Fractional positions:
Te1 0.2477 0.7371 0.9897  2 Y 3.12, 1 Th 3.15, 3 Na 3.22-3.26
Y1 0.5000 0.5000 0.0000  6 Te 3.11-3.12
Te2 0.2477 0.7373 0.4954  2 Y 3.12, 1 Th 3.15, 3 Na 3.22-3.26
Te3 0.7420 0.7371 0.9897  2 Y 3.12, 1 Th 3.15, 3 Na 3.22-3.26
Na1 0.5000 0.0000 0.5000  6 Te 3.25-3.27
Na2 0.0000 0.0000 0.0000  6 Te 3.26
Te4 0.2580 0.2629 0.0103  2 Y 3.12, 1 Th 3.15, 3 Na 3.22-3.26
Na3 0.0000 0.0000 0.5000  6 Te 3.25-3.27
Y2 0.5000 0.5000 0.5000  6 Te 3.11-3.12
Te5 0.7523 0.2629 0.0103  2 Y 3.12, 1 Th 3.15, 3 Na 3.22-3.26
Te6 0.7523 0.2627 0.5046  2 Y 3.12, 1 Th 3.15, 3 Na 3.22-3.26
Y3 0.0000 0.5000 0.5000  6 Te 3.11-3.12
Te7 0.7444 0.7330 0.4889  3 Y 3.11, 3 Na 3.26-3.27
Te8 0.2556 0.2670 0.5111  3 Y 3.11, 3 Na 3.26-3.27
Th1 0.0000 0.5000 0.0000  6 Te 3.15
Na4 0.5000 0.0000 0.0000  6 Te 3.22

Properties
Space-group type   No. 166

=====

no.,E_form (uncorrected) (meV per atom)
1,-898
2,-1028
3,-900
4,-1150
5,-1184
6,-1182
7,-1216
8,-1103
9,-936
10,-1207
11,-1167
12,-1269